Compound: Hg5Au3
Source: Alexandria via LeMat-Bulk
Functional: meta-GGA SCAN
Structure: PBEsol geometry

```
Hg5Au3
1.0
7.929 0.000 0.000
-3.965 6.867 0.000
0.000 0.000 6.059
Hg Au
10 6
direct
0.000 0.225 0.250
0.000 0.775 0.750
0.225 0.000 0.250
0.225 0.225 0.750
0.333 0.667 0.000
0.333 0.667 0.500
0.667 0.333 0.000
0.667 0.333 0.500
0.775 0.000 0.750
0.775 0.775 0.250
0.000 0.405 0.750
0.000 0.595 0.250
0.405 0.000 0.750
0.405 0.405 0.250
0.595 0.000 0.250
0.595 0.595 0.750
```

Values from the calculation:
DFT formation energy: 0.661 eV/f.u.
Volume: 329.9 Å³ per cell
Space-group type: P6_3/mcm
Crystal system: hexagonal
DFT total energy: -68.4550 eV/atom